# CaMgW2 GGA-PBEsol optimized geometry
# Formation energy from the elements: 840.7 meV/atom
# N(E_F): 10.167 states/eV/cell
# Volume: 18.237 Å³/atom
# M_tot: 0.0 μB per cell
# E_tot: -84.31 eV per cell
data_CaMgW2
_chemical_formula_sum 'Ca3 Mg3 W6'
_cell_length_a 2.8697
_cell_length_b 2.8697
_cell_length_c 30.6868
_cell_angle_alpha 90.00
_cell_angle_beta 90.00
_cell_angle_gamma 120.00
_symmetry_space_group_name_H-M 'R -3 m'
_symmetry_Int_Tables_number 166
_symmetry_space_group_name_Hall '-R 3 2"'
loop_
_atom_site_label
_atom_site_type_symbol
_atom_site_fract_x
_atom_site_fract_y
_atom_site_fract_z
Ca1 Ca 0.0000 0.0000 0.0000
Mg1 Mg 0.0000 0.0000 0.5000
W1 W 0.0000 0.0000 0.2457